Here is a relaxed structure of Nd6SnI8 from Alexandria via LeMat-Bulk. Energies are from GGA-PBE.

CIF file:
```
data_Nd6SnI8
_chemical_formula_sum 'Nd18 Sn3 I24'
_space_group_name_H-M_alt 'R -3'
_space_group_IT_number 148
_space_group_name_Hall '-R 3'
_cell_length_a 7.7591
_cell_length_b 7.7591
_cell_length_c 34.7672
_cell_angle_alpha 90.00
_cell_angle_beta 90.00
_cell_angle_gamma 120.00
loop_
_atom_site_label
_atom_site_type_symbol
_atom_site_fract_x
_atom_site_fract_y
_atom_site_fract_z
Nd1 Nd 0.9999 0.3145 0.4487
Sn1 Sn 0.0000 0.0000 0.5000
I1 I 0.0000 0.0000 0.1667
I2 I 0.9999 0.3378 0.6080
```

Density   5.495 g cm⁻³
VASP energy   -4.13 eV/atom

Here is a relaxed structure of NdSnI5 from Alexandria via LeMat-Bulk. Energies are from GGA-PBE.

CIF file:
```
data_NdSnI5
_chemical_formula_sum 'Nd2 Sn2 I10'
_space_group_name_H-M_alt 'P 1 21/m 1'
_space_group_IT_number 11
_space_group_name_Hall '-P 2yb'
_cell_length_a 9.2185
_cell_length_b 4.5495
_cell_length_c 15.1565
_cell_angle_alpha 90.00
_cell_angle_beta 94.27
_cell_angle_gamma 90.00
loop_
_atom_site_label
_atom_site_type_symbol
_atom_site_fract_x
_atom_site_fract_y
_atom_site_fract_z
Nd1 Nd 0.0922 0.2500 0.1511
Sn1 Sn 0.4024 0.7500 0.3684
I1 I 0.1173 0.2500 0.7923
I2 I 0.1489 0.2500 0.3670
I3 I 0.1814 0.7500 0.0133
I4 I 0.3579 0.7500 0.5701
I5 I 0.4271 0.2500 0.1865
```

Density   4.702 g cm⁻³
VASP energy   -3.36 eV/atom